{
  "formula": "PmW2O8",
  "functional": "PBE+U",
  "state": "optimized geometry",
  "lattice_angstrom": [[-4.175, -2.472, -0.306], [2.457, -4.185, 0.291], [0.375, 3.440, 5.701]],
  "species": ["Pm", "W", "W", "O", "O", "O", "O", "O", "O", "O", "O"],
  "fractional_positions": [[0.500, 0.500, 0.000], [0.750, 0.250, 0.500], [0.250, 0.750, 0.500], [0.897, 0.399, 0.296], [0.103, 0.601, 0.704], [0.601, 0.103, 0.704], [0.103, 0.103, 0.704], [0.399, 0.897, 0.296], [0.897, 0.897, 0.296], [0.399, 0.399, 0.296], [0.601, 0.601, 0.704]],
  "dft_energy_ev_per_atom": -7.137,
  "n_ef_per_ev_cell": 2.98,
  "sg": "I4/mmm",
  "mass_density_g_cm3": 7.876
}